#A
BaTiRh3 | Alexandria via LeMat-Bulk | PBE | relaxed; size of the total moment = 0.00 μB per atom
1.0
4.751 0.000 0.000
0.000 4.751 0.000
0.000 0.000 4.751
Ba Ti Rh
1 1 3
direct
0.000 0.000 0.000
0.500 0.500 0.500
0.000 0.500 0.500
0.500 0.000 0.500
0.500 0.500 0.000

=====

#B
BaTiRh3 | Alexandria via LeMat-Bulk | PBE | relaxed; size of the total moment = 0.00 μB per atom
1.0
4.984 0.000 0.000
0.000 4.984 0.000
0.000 0.000 4.984
Ba Ti Rh
1 1 3
direct
0.000 0.000 0.000
0.500 0.500 0.500
0.000 0.000 0.500
0.000 0.500 0.000
0.500 0.000 0.000

=====

Pick #A: it beats the second-best structure by 1.832 eV/atom.

=====

#A
Ba4TlRh | Alexandria via LeMat-Bulk | PBE | relaxed; size of the total moment = 0.00 μB per atom
1.0
0.000 4.943 4.943
4.943 0.000 4.943
4.943 4.943 0.000
Ba Tl Rh
4 1 1
direct
0.124 0.124 0.124
0.124 0.124 0.627
0.124 0.627 0.124
0.627 0.124 0.124
0.500 0.500 0.500
0.750 0.750 0.750

=====

#B
Ba4TlRh | Alexandria via LeMat-Bulk | PBE | relaxed; size of the total moment = 0.00 μB per atom
1.0
4.948 -7.381 0.000
4.948 7.381 0.000
-2.022 0.000 6.831
Ba Tl Rh
8 2 2
direct
0.053 0.731 0.961
0.213 0.368 0.601
0.269 0.947 0.539
0.368 0.213 0.101
0.632 0.787 0.899
0.731 0.053 0.461
0.787 0.632 0.399
0.947 0.269 0.039
0.368 0.632 0.250
0.632 0.368 0.750
0.001 0.999 0.750
0.999 0.001 0.250

=====

Pick #B: it beats the second-best structure by 0.892 eV/atom.

=====

#A
Ba6TlRh | Alexandria via LeMat-Bulk | PBE | relaxed; size of the total moment = 0.00 μB per atom
1.0
4.210 -6.646 0.000
4.210 6.646 0.000
-2.085 0.000 7.759
Ba Tl Rh
6 1 1
direct
0.035 0.358 0.243
0.259 0.259 0.788
0.358 0.035 0.243
0.642 0.965 0.757
0.741 0.741 0.212
0.965 0.642 0.757
0.500 0.500 0.500
0.000 0.000 0.000

=====

#B
Ba6TlRh | Alexandria via LeMat-Bulk | PBE | relaxed; size of the total moment = 0.00 μB per atom
1.0
7.980 -6.111 0.000
7.980 6.111 0.000
-7.719 0.000 9.424
Ba Tl Rh
12 2 2
direct
0.007 0.647 0.339
0.151 0.778 0.786
0.222 0.849 0.214
0.273 0.273 0.127
0.346 0.346 0.541
0.353 0.993 0.661
0.647 0.007 0.339
0.654 0.654 0.459
0.727 0.727 0.873
0.778 0.151 0.786
0.849 0.222 0.214
0.993 0.353 0.661
0.000 0.500 0.000
0.500 0.000 0.000
0.000 0.500 0.500
0.500 0.000 0.500

=====

Pick #A: it beats the second-best structure by 0.098 eV/atom.

=====

#A
BaTl3Rh | Alexandria via LeMat-Bulk | PBE | relaxed; size of the total moment = 0.02 μB per atom
1.0
6.273 0.000 0.000
0.000 6.273 0.000
0.000 0.000 6.273
Ba Tl Rh
1 3 1
direct
0.000 0.000 0.000
0.000 0.000 0.500
0.000 0.500 0.000
0.500 0.000 0.000
0.500 0.500 0.500

=====

#B
BaTl3Rh | Alexandria via LeMat-Bulk | PBE | relaxed; size of the total moment = 0.00 μB per atom
1.0
7.406 0.000 0.000
-3.703 6.414 0.000
0.000 0.000 6.034
Ba Tl Rh
2 6 2
direct
0.333 0.667 0.250
0.667 0.333 0.750
0.181 0.361 0.750
0.181 0.819 0.750
0.361 0.181 0.250
0.639 0.819 0.750
0.819 0.181 0.250
0.819 0.639 0.250
0.000 0.000 0.000
0.000 0.000 0.500

=====

#C
BaTl3Rh | Alexandria via LeMat-Bulk | PBE | relaxed; size of the total moment = 0.00 μB per atom
1.0
5.334 0.000 0.000
0.000 5.334 0.000
0.000 0.000 5.334
Ba Tl Rh
1 3 1
direct
0.000 0.000 0.000
0.000 0.500 0.500
0.500 0.000 0.500
0.500 0.500 0.000
0.500 0.500 0.500

=====

Pick #B: it beats the second-best structure by 0.025 eV/atom.

=====

#A
BaTlRh3 | Alexandria via LeMat-Bulk | PBE | relaxed; size of the total moment = 0.24 μB per atom
1.0
5.090 0.000 0.000
0.000 5.090 0.000
0.000 0.000 5.090
Ba Tl Rh
1 1 3
direct
0.000 0.000 0.000
0.500 0.500 0.500
0.000 0.500 0.500
0.500 0.000 0.500
0.500 0.500 0.000

=====

#B
BaTlRh3 | Alexandria via LeMat-Bulk | PBE | relaxed; size of the total moment = 0.23 μB per atom
1.0
5.160 0.000 0.000
0.000 5.160 0.000
0.000 0.000 5.160
Ba Tl Rh
1 1 3
direct
0.000 0.000 0.000
0.500 0.500 0.500
0.000 0.000 0.500
0.000 0.500 0.000
0.500 0.000 0.000

=====

Pick #A: it beats the second-best structure by 0.841 eV/atom.

=====

#A
BaTl2Rh2 | Alexandria via LeMat-Bulk | PBE | relaxed; size of the total moment = 0.00 μB per atom
1.0
8.407 0.000 0.000
0.000 8.407 0.000
0.000 0.000 3.208
Ba Tl Rh
2 4 4
direct
0.000 0.000 0.000
0.500 0.500 0.000
0.126 0.374 0.000
0.374 0.874 0.000
0.626 0.126 0.000
0.874 0.626 0.000
0.172 0.672 0.500
0.328 0.172 0.500
0.672 0.828 0.500
0.828 0.328 0.500

=====

#B
BaTl2Rh2 | Alexandria via LeMat-Bulk | PBE | relaxed; size of the total moment = 0.00 μB per atom
1.0
-2.360 2.360 5.649
2.360 -2.360 5.649
2.360 2.360 -5.649
Ba Tl Rh
1 2 2
direct
0.000 0.000 0.000
0.250 0.750 0.500
0.750 0.250 0.500
0.389 0.389 0.000
0.611 0.611 0.000

=====

#C
BaTl2Rh2 | Alexandria via LeMat-Bulk | PBE | relaxed; size of the total moment = 0.00 μB per atom
1.0
5.812 -2.206 0.000
5.812 2.206 0.000
-1.300 0.000 5.070
Ba Tl Rh
1 2 2
direct
0.000 0.000 0.000
0.352 0.352 0.428
0.648 0.648 0.572
0.262 0.262 0.874
0.738 0.738 0.126

=====

#D
BaTl2Rh2 | Alexandria via LeMat-Bulk | PBE | relaxed; size of the total moment = 0.00 μB per atom
1.0
8.251 0.000 0.000
0.000 8.251 0.000
0.000 0.000 3.305
Ba Tl Rh
2 4 4
direct
0.000 0.000 0.000
0.500 0.500 0.000
0.141 0.359 0.500
0.359 0.859 0.500
0.641 0.141 0.500
0.859 0.641 0.500
0.152 0.652 0.000
0.348 0.152 0.000
0.652 0.848 0.000
0.848 0.348 0.000

=====

Pick #C: it beats the second-best structure by 0.062 eV/atom.

=====

#A
Ba6TlRh2 | Alexandria via LeMat-Bulk | PBE | relaxed; size of the total moment = 0.00 μB per atom
1.0
-5.354 5.597 5.925
5.354 -5.597 5.925
5.354 5.597 -5.925
Ba Tl Rh
12 2 4
direct
0.032 0.233 0.799
0.177 0.292 0.468
0.177 0.708 0.885
0.335 0.013 0.679
0.335 0.656 0.321
0.434 0.233 0.201
0.566 0.767 0.799
0.665 0.344 0.679
0.665 0.987 0.321
0.823 0.292 0.115
0.823 0.708 0.532
0.968 0.767 0.201
0.000 0.000 0.000
0.500 0.500 0.000
0.117 0.617 0.500
0.335 0.000 0.335
0.665 0.000 0.665
0.883 0.383 0.500

=====

#B
Ba6TlRh2 | Alexandria via LeMat-Bulk | PBE | relaxed; size of the total moment = 0.00 μB per atom
1.0
7.664 -3.079 0.000
7.664 3.079 0.000
-5.436 0.000 9.203
Ba Tl Rh
6 1 2
direct
0.024 0.024 0.196
0.288 0.288 0.906
0.348 0.348 0.408
0.652 0.652 0.592
0.712 0.712 0.094
0.976 0.976 0.804
0.000 0.000 0.500
0.179 0.179 0.100
0.821 0.821 0.900

=====

Pick #A: it beats the second-best structure by 0.018 eV/atom.

=====

#A
Ba2VRh | Alexandria via LeMat-Bulk | PBE | relaxed; size of the total moment = 0.90 μB per atom
1.0
-5.968 5.968 2.374
5.968 -5.968 2.374
5.968 5.968 -2.374
Ba V Rh
4 2 2
direct
0.375 0.199 0.324
0.801 0.125 0.176
0.875 0.051 0.676
0.949 0.625 0.824
0.250 0.750 0.500
0.500 0.500 0.000
0.000 0.000 0.000
0.750 0.250 0.500

=====

#B
Ba2VRh | Alexandria via LeMat-Bulk | PBE | relaxed; size of the total moment = 1.08 μB per atom
1.0
0.000 3.919 3.919
3.919 0.000 3.919
3.919 3.919 0.000
Ba V Rh
2 1 1
direct
0.250 0.250 0.250
0.750 0.750 0.750
0.000 0.000 0.000
0.500 0.500 0.500

=====

Pick #A: it beats the second-best structure by 0.255 eV/atom.

=====

#A
BaVRh2 | Alexandria via LeMat-Bulk | PBE | relaxed; size of the total moment = 0.60 μB per atom
1.0
0.000 3.408 3.408
3.408 0.000 3.408
3.408 3.408 0.000
Ba V Rh
1 1 2
direct
0.000 0.000 0.000
0.500 0.500 0.500
0.250 0.250 0.250
0.750 0.750 0.750

=====

#B
BaVRh2 | Alexandria via LeMat-Bulk | PBE | relaxed; size of the total moment = 0.38 μB per atom
1.0
-2.652 2.652 7.611
2.652 -2.652 7.611
2.652 2.652 -7.611
Ba V Rh
2 2 4
direct
0.000 0.000 0.000
0.750 0.250 0.500
0.250 0.750 0.500
0.500 0.500 0.000
0.338 0.125 0.713
0.375 0.662 0.787
0.412 0.625 0.287
0.875 0.588 0.213

=====

Pick #B: it beats the second-best structure by 0.223 eV/atom.

=====

#A
Ba2RhW | Alexandria via LeMat-Bulk | PBE | relaxed; size of the total moment = 0.22 μB per atom
1.0
3.487 -4.761 0.000
3.487 4.761 0.000
0.000 0.000 3.221
Ba Rh W
2 1 1
direct
0.000 0.500 0.000
0.500 0.000 0.000
0.000 0.000 0.500
0.500 0.500 0.500

=====

#B
Ba2RhW | Alexandria via LeMat-Bulk | PBE | relaxed; size of the total moment = 0.00 μB per atom
1.0
3.418 0.000 0.000
0.000 3.498 0.000
-1.610 0.000 10.038
Ba Rh W
2 1 1
direct
0.000 0.000 0.000
0.215 0.500 0.398
0.382 0.500 0.750
0.838 0.000 0.659

=====

Pick #B: it beats the second-best structure by 0.683 eV/atom.

=====

#A
BaRhW3 | Alexandria via LeMat-Bulk | PBE | relaxed; size of the total moment = 0.00 μB per atom
1.0
4.887 0.000 0.000
0.000 4.887 0.000
0.000 0.000 4.887
Ba Rh W
1 1 3
direct
0.000 0.000 0.000
0.500 0.500 0.500
0.000 0.000 0.500
0.000 0.500 0.000
0.500 0.000 0.000

=====

#B
BaRhW3 | Alexandria via LeMat-Bulk | PBE | relaxed; size of the total moment = 0.43 μB per atom
1.0
4.912 0.000 0.000
0.000 4.912 0.000
0.000 0.000 4.912
Ba Rh W
1 1 3
direct
0.000 0.000 0.000
0.500 0.500 0.500
0.000 0.500 0.500
0.500 0.000 0.500
0.500 0.500 0.000

=====

Pick #B: it beats the second-best structure by 2.083 eV/atom.